The following is a PBE calculation of a relaxed Na5LiF8 crystal, from the Alexandria database.

- M_tot (Bohr magnetons per cell) = 2.00
- formation energy (no corrections) (meV per atom) = -2297
- V (Å³ per atom) = 12.15

Lattice parameters (Å, degrees): 6.0580 6.0580 6.0580 112.11 112.11 104.32
Fractional coordinates of all 14 atoms:
Na (0.0000, 0.0000, 0.0000)
Na (0.1261, 0.2536, 0.6194)
Na (0.4933, 0.8739, 0.1275)
Na (0.6341, 0.5067, 0.3806)
Na (0.7464, 0.3659, 0.8725)
Li (0.2500, 0.7500, 0.5000)
F (0.0209, 0.6118, 0.7776)
F (0.2318, 0.5153, 0.1445)
F (0.3708, 0.0873, 0.8555)
F (0.3882, 0.1659, 0.4091)
F (0.4847, 0.6292, 0.7165)
F (0.7568, 0.9791, 0.5909)
F (0.8341, 0.2432, 0.2224)
F (0.9127, 0.7682, 0.2835)

---

The following is a PBE calculation of a relaxed Na4Li3F8 crystal, from the Alexandria database.

- M_tot (Bohr magnetons per cell) = 1.19
- formation energy (no corrections) (meV per atom) = -2530
- V (Å³ per atom) = 11.94

Lattice parameters (Å, degrees): 6.3344 6.3344 6.2388 119.44 119.44 90.54
Fractional coordinates of all 15 atoms:
Na (0.0000, 0.0000, 0.0000)
Na (0.0000, 0.5000, 0.0000)
Na (0.5000, 0.0000, 0.0000)
Na (0.5000, 0.5000, 0.5000)
Li (0.0000, 0.0000, 0.5000)
Li (0.0000, 0.5000, 0.5000)
Li (0.5000, 0.0000, 0.5000)
F (0.2288, 0.2288, 0.9669)
F (0.2340, 0.2340, 0.4927)
F (0.2440, 0.7560, 0.0000)
F (0.2453, 0.7547, 0.5000)
F (0.7547, 0.2453, 0.5000)
F (0.7560, 0.2440, 0.0000)
F (0.7660, 0.7660, 0.5073)
F (0.7712, 0.7712, 0.0331)

---

The following is a PBE calculation of a relaxed NaLiF3 crystal, from the Alexandria database.

- M_tot (Bohr magnetons per cell) = 2.06
- formation energy (no corrections) (meV per atom) = -2207
- V (Å³ per atom) = 11.23

Lattice parameters (Å, degrees): 5.1325 5.1600 4.2407 90.00 90.00 90.00
Fractional coordinates of all 10 atoms:
Na (0.0000, 0.0000, 0.0000)
Na (0.5000, 0.5000, 0.0000)
Li (0.0000, 0.5000, 0.5000)
Li (0.5000, 0.0000, 0.5000)
F (0.0000, 0.5000, 0.0000)
F (0.1389, 0.1399, 0.5000)
F (0.3611, 0.6399, 0.5000)
F (0.5000, 0.0000, 0.0000)
F (0.6389, 0.3601, 0.5000)
F (0.8611, 0.8601, 0.5000)

---

The following is a PBE calculation of a relaxed NaLi2F4 crystal, from the Alexandria database.

- M_tot (Bohr magnetons per cell) = 2.00
- formation energy (no corrections) (meV per atom) = -2385
- V (Å³ per atom) = 11.10

Lattice parameters (Å, degrees): 5.8673 5.8673 5.8673 110.53 110.53 107.38
Fractional coordinates of all 14 atoms:
Na (0.0000, 0.0000, 0.0000)
Na (0.7500, 0.2500, 0.5000)
Li (0.3743, 0.1250, 0.7493)
Li (0.3750, 0.6257, 0.7507)
Li (0.3757, 0.6250, 0.2507)
Li (0.8750, 0.6243, 0.2493)
F (0.0888, 0.7660, 0.6755)
F (0.0905, 0.4133, 0.3245)
F (0.1633, 0.3405, 0.8245)
F (0.2340, 0.9095, 0.3227)
F (0.5160, 0.3388, 0.1755)
F (0.5867, 0.9112, 0.6773)
F (0.6595, 0.4840, 0.8227)
F (0.6612, 0.8367, 0.1773)